(1)
This record from Alexandria via LeMat-Bulk describes crystalline ZrAl4Ir at its relaxed geometry. The functional is GGA-PBE.

Values from the calculation:
**Symmetry**: I4/mcm (140)
**ΔE_f**: -391 meV per atom
**N(E_F)**: 0.2933 states/eV/atom

Cell lengths 6.377, 6.377, 7.076 Å; angles 63.21, 63.21, 89.99 degrees
Sites, in units of the cell vectors:
Zr (0.500, 0.500, 0.000)
Al (0.304, 0.500, 0.696)
Al (0.804, 0.304, 0.696)
Al (0.000, 0.804, 0.696)
Zr (0.000, 0.000, 0.000)
Al (0.196, 0.696, 0.304)
Ir (0.750, 0.750, 0.500)
Al (0.500, 0.000, 0.304)
Al (0.500, 0.000, 0.696)
Ir (0.250, 0.250, 0.500)
Al (0.696, 0.500, 0.304)
Al (0.000, 0.196, 0.304)

=====

(2)
This record from Alexandria via LeMat-Bulk describes crystalline Zr2Al6Ir at its relaxed geometry. The functional is GGA-PBE.

Values from the calculation:
**Symmetry**: P-3m1 (164)
**ΔE_f**: -519 meV per atom
**N(E_F)**: 0.4042 states/eV/atom

Cell lengths 5.781, 5.586, 5.586 Å; angles 60.00, 90.00, 90.00 degrees
Sites, in units of the cell vectors:
Zr (0.883, 0.667, 0.667)
Zr (0.117, 0.333, 0.333)
Ir (0.000, 0.000, 0.000)
Al (0.683, 0.174, 0.174)
Al (0.317, 0.347, 0.826)
Al (0.683, 0.174, 0.653)
Al (0.683, 0.653, 0.174)
Al (0.317, 0.826, 0.347)
Al (0.317, 0.826, 0.826)

=====

(3)
This record from Alexandria via LeMat-Bulk describes crystalline ZrAl2Ir at its relaxed geometry. The functional is GGA-PBE.

Values from the calculation:
**Symmetry**: I-4m2 (119)
**ΔE_f**: -617 meV per atom
**N(E_F)**: 0.4088 states/eV/atom

Cell lengths 4.929, 4.929, 4.929 Å; angles 131.22, 131.21, 71.45 degrees
Sites, in units of the cell vectors:
Zr (0.250, 0.750, 0.500)
Al (0.000, 0.000, 0.000)
Al (0.750, 0.250, 0.500)
Ir (0.500, 0.501, 0.000)

=====

(4)
This record from Alexandria via LeMat-Bulk describes crystalline ZrAl8Ir2 at its relaxed geometry. The functional is GGA-PBE.

Values from the calculation:
**Symmetry**: P-1 (2)
**ΔE_f**: -474 meV per atom
**N(E_F)**: 0.3676 states/eV/atom

Cell lengths 5.078, 5.068, 7.435 Å; angles 90.50, 80.46, 81.17 degrees
Sites, in units of the cell vectors:
Al (0.032, 0.740, 0.066)
Al (0.323, 0.011, 0.654)
Al (0.078, 0.340, 0.343)
Al (0.440, 0.509, 0.810)
Al (0.922, 0.660, 0.657)
Zr (0.500, 0.000, 0.000)
Al (0.968, 0.260, 0.934)
Al (0.560, 0.491, 0.190)
Al (0.677, 0.989, 0.346)
Ir (0.199, 0.825, 0.367)
Ir (0.801, 0.175, 0.633)

=====

(5)
This record from Alexandria via LeMat-Bulk describes crystalline Zr2AlIr at its relaxed geometry. The functional is GGA-PBE.

Values from the calculation:
**Symmetry**: P4/mmm (123)
**ΔE_f**: -580 meV per atom
**N(E_F)**: 1.2636 states/eV/atom

Cell lengths 4.331, 4.333, 3.927 Å; angles 90.00, 90.00, 90.00 degrees
Sites, in units of the cell vectors:
Al (0.500, 0.000, 0.500)
Zr (0.500, 0.500, 0.000)
Zr (0.000, 0.000, 0.000)
Ir (0.000, 0.500, 0.500)

=====

(6)
This record from Alexandria via LeMat-Bulk describes crystalline Zr2Al3Ir at its relaxed geometry. The functional is GGA-PBE.

Values from the calculation:
**Symmetry**: R-3m (166)
**ΔE_f**: -750 meV per atom
**N(E_F)**: 0.6714 states/eV/atom

Cell lengths 5.305, 5.305, 5.229 Å; angles 90.01, 120.49, 119.98 degrees
Sites, in units of the cell vectors:
Al (0.500, 0.500, 0.500)
Al (0.000, 0.000, 0.500)
Zr (0.258, 0.629, 0.887)
Al (0.500, 0.000, 0.500)
Zr (0.742, 0.371, 0.113)
Ir (0.000, 0.000, 0.000)

=====

(7)
This record from Alexandria via LeMat-Bulk describes crystalline Zr2AlIr at its relaxed geometry. The functional is GGA-PBE.

Values from the calculation:
**Symmetry**: Cmmm (65)
**ΔE_f**: -561 meV per atom
**N(E_F)**: 0.8745 states/eV/atom

Cell lengths 6.739, 4.965, 3.120 Å; angles 90.01, 62.41, 122.22 degrees
Sites, in units of the cell vectors:
Al (0.000, 0.500, 0.500)
Ir (0.500, 0.500, 0.000)
Zr (0.500, 0.000, 0.500)
Zr (0.000, 0.000, 0.000)

=====

(8)
This record from Alexandria via LeMat-Bulk describes crystalline Zr2AlIr at its relaxed geometry. The functional is GGA-PBE.

Values from the calculation:
**Symmetry**: F-43m (216)
**ΔE_f**: -409 meV per atom
**N(E_F)**: 0.7409 states/eV/atom

Cell lengths 4.679, 4.679, 4.679 Å; angles 60.00, 60.00, 60.00 degrees
Each line ends with the local moment (μB).
Sites, in units of the cell vectors:
Zr (0.250, 0.250, 0.250)  0.98
Al (0.500, 0.500, 0.500)  0.00
Zr (0.000, 0.000, 0.000)  0.41
Ir (0.750, 0.750, 0.750)  0.06